# 1
Computed, not measured: a geometry-optimized Ca3Cr2O7 structure at the GGA-PBEsol level of DFT.

a b c (Å): 10.0755 10.0755 5.2112
angles (deg): 90.00 90.00 30.00
Last column: nearest neighbours and their distance in Å.
Atoms (fractional coordinates):
Ca (0.0548, 0.5702, 0.4475)  5 O 2.28-2.46
Ca (0.2491, 0.7509, 0.5000)  6 O 2.33-2.54
Ca (0.4298, 0.9452, 0.4475)  5 O 2.28-2.46
Ca (0.5702, 0.0548, 0.9475)  5 O 2.28-2.46
Ca (0.7509, 0.2491, 0.0000)  6 O 2.33-2.54
Ca (0.9452, 0.4298, 0.9475)  5 O 2.28-2.46
Cr (0.1530, 0.6504, 0.9697)  6 O 1.86-1.93
Cr (0.3496, 0.8470, 0.9697)  6 O 1.86-1.93
Cr (0.6504, 0.1530, 0.4697)  6 O 1.86-1.93
Cr (0.8470, 0.3496, 0.4697)  6 O 1.86-1.93
O (0.0136, 0.5934, 0.9769)  1 Cr 1.92
O (0.0482, 0.1268, 0.7604)  2 Cr 1.88-1.89
O (0.1268, 0.0482, 0.2604)  2 Cr 1.88-1.89
O (0.3062, 0.6938, 0.9598)  2 Cr 1.93
O (0.3550, 0.4312, 0.6827)  2 Cr 1.86-1.87
O (0.4066, 0.9864, 0.9769)  1 Cr 1.92
O (0.4312, 0.3550, 0.1827)  2 Cr 1.86-1.87
O (0.5688, 0.6450, 0.6827)  2 Cr 1.86-1.87
O (0.5934, 0.0136, 0.4769)  1 Cr 1.92
O (0.6450, 0.5688, 0.1827)  2 Cr 1.86-1.87
O (0.6938, 0.3062, 0.4598)  2 Cr 1.93
O (0.8732, 0.9518, 0.7604)  2 Cr 1.88-1.89
O (0.9518, 0.8732, 0.2604)  2 Cr 1.88-1.89
O (0.9864, 0.4066, 0.4769)  1 Cr 1.92

Output
* size of the total moment: 8.00 μB per cell
* calculated total energy: -7.840 eV per atom
* space group: Cmc2_1

# 2
Computed, not measured: a geometry-optimized CaCrO2 structure at the GGA-PBEsol level of DFT.

a b c (Å): 6.9054 6.9054 6.9054
angles (deg): 127.86 127.86 76.85
Last column: nearest neighbours and their distance in Å.
Atoms (fractional coordinates):
Ca (0.0000, 0.0000, 0.0000)  6 O 2.31-2.40
Ca (0.0000, 0.0000, 0.5000)  6 O 2.31-2.40
Ca (0.0000, 0.5000, 0.0000)  6 O 2.31-2.40
Ca (0.5000, 0.0000, 0.5000)  6 O 2.31-2.40
Cr (0.0000, 0.5000, 0.5000)  4 O 2.03
Cr (0.5000, 0.0000, 0.0000)  4 O 2.03
Cr (0.5000, 0.5000, 0.0000)  4 O 2.03
Cr (0.5000, 0.5000, 0.5000)  4 O 2.03
O (0.2210, 0.2539, 0.5329)  2 Cr 2.03
O (0.2210, 0.6880, 0.9671)  2 Cr 2.03
O (0.2539, 0.2210, 0.0329)  2 Cr 2.03
O (0.3120, 0.7790, 0.5329)  2 Cr 2.03
O (0.6880, 0.2210, 0.4671)  2 Cr 2.03
O (0.7461, 0.7790, 0.9671)  2 Cr 2.03
O (0.7790, 0.3120, 0.0329)  2 Cr 2.03
O (0.7790, 0.7461, 0.4671)  2 Cr 2.03

Output
* size of the total moment: 15.96 μB per cell
* calculated total energy: -7.807 eV per atom
* space group: I4_1/amd

# 3
Computed, not measured: a geometry-optimized CaCr2O4 structure at the GGA-PBEsol level of DFT.

a b c (Å): 5.8568 10.8859 5.0830
angles (deg): 90.00 90.00 90.00
Last column: nearest neighbours and their distance in Å.
Atoms (fractional coordinates):
Ca (0.2500, 0.2500, 0.0348)  6 O 2.28-2.41
Ca (0.2500, 0.7500, 0.3536)  6 O 2.28-2.41
Ca (0.7500, 0.2500, 0.6464)  6 O 2.28-2.41
Ca (0.7500, 0.7500, 0.9652)  6 O 2.28-2.41
Cr (0.0000, 0.0000, 0.5000)  6 O 1.97-2.02
Cr (0.0000, 0.5000, 0.5000)  6 O 1.97-2.02
Cr (0.2500, 0.5093, 0.9948)  6 O 1.95-2.04
Cr (0.2500, 0.9907, 0.9948)  6 O 1.95-2.04
Cr (0.5000, 0.0000, 0.5000)  6 O 1.97-2.02
Cr (0.5000, 0.5000, 0.5000)  6 O 1.97-2.02
Cr (0.7500, 0.0093, 0.0052)  6 O 1.95-2.04
Cr (0.7500, 0.4907, 0.0052)  6 O 1.95-2.04
O (0.0036, 0.0997, 0.8348)  3 Cr 1.98-2.04
O (0.0036, 0.4003, 0.8348)  3 Cr 1.98-2.04
O (0.2500, 0.0886, 0.3220)  3 Cr 1.97-1.98
O (0.2500, 0.4114, 0.3220)  3 Cr 1.97-1.98
O (0.2500, 0.5965, 0.6588)  3 Cr 1.95-1.97
O (0.2500, 0.9035, 0.6588)  3 Cr 1.95-1.97
O (0.4964, 0.0997, 0.8348)  3 Cr 1.98-2.04
O (0.4964, 0.4003, 0.8348)  3 Cr 1.98-2.04
O (0.5036, 0.5997, 0.1652)  3 Cr 1.98-2.04
O (0.5036, 0.9003, 0.1652)  3 Cr 1.98-2.04
O (0.7500, 0.0965, 0.3412)  3 Cr 1.95-1.97
O (0.7500, 0.4035, 0.3412)  3 Cr 1.95-1.97
O (0.7500, 0.5886, 0.6780)  3 Cr 1.97-1.98
O (0.7500, 0.9114, 0.6780)  3 Cr 1.97-1.98
O (0.9964, 0.5997, 0.1652)  3 Cr 1.98-2.04
O (0.9964, 0.9003, 0.1652)  3 Cr 1.98-2.04

Output
* size of the total moment: 24.00 μB per cell
* calculated total energy: -8.504 eV per atom
* space group: Pmmn
* excess energy over the best structure of this formula in the dataset: 0.13 eV/f.u.

Q: Among the records above, which one has the lowest size of the total moment?
A: Ca3Cr2O7

Q: Among the records above, which one has the lowest size of the total moment?
A: Ca3Cr2O7

Q: Which formula does entry 1 have?
A: Ca3Cr2O7